(1)
DFT (PBE+U) results for a relaxed CrInTc2O crystal.

Structure (POSCAR):
```
CrInTc2O
1.0
-3.172 -0.605 -2.464
2.340 -3.694 -2.105
-1.613 -2.564 2.706
In Tc O Cr
1 2 1 1
Cartesian
1.170 -1.847 -1.053 In
-1.586 -0.303 -1.232 Tc
-0.806 -1.282 1.353 Tc
0.000 0.000 0.000 O
-1.223 -3.431 -0.931 Cr
```

Computed properties:
The calculation puts the energy at -6.9404 eV/atom. For the volume, the calculation gives 80.1 Å³/f.u. Its symmetry is P4/mmm, No. 123. The calculated density comes out at 7.86 g cm⁻³. For the size of the total moment, the calculation gives 1.34 μB/f.u.



(2)
DFT (PBE+U) results for a relaxed Ti2CrIn3O6 crystal.

Structure (POSCAR):
```
Ti2CrIn3O6
1.0
-3.185 -1.614 -4.604
5.590 1.486 -0.700
2.458 -5.858 -0.875
In O Ti Cr
3 6 2 1
Cartesian
2.642 0.444 -2.012 In
0.000 0.000 0.000 In
-0.237 -0.573 -3.293 In
2.968 -4.925 -2.762 O
-0.999 -2.164 -4.649 O
1.895 -1.062 -3.417 O
5.863 -3.822 -1.531 O
4.795 -0.118 -2.071 O
0.069 -5.868 -4.108 O
-0.483 -4.022 -4.386 Ti
5.346 -1.964 -1.793 Ti
2.432 -2.993 -3.090 Cr
```

Computed properties:
The calculation puts the energy at -6.4272 eV/atom. For the volume, the calculation gives 179.7 Å³/f.u. Its symmetry is C2/m, No. 12. The calculated density comes out at 5.44 g cm⁻³. For the size of the total moment, the calculation gives 5.53 μB/f.u.



(3)
DFT (PBE+U) results for a relaxed TiCr2InO6 crystal.

Structure (POSCAR):
```
TiCr2InO6
1.0
5.197 -0.038 -0.017
2.567 4.674 0.118
2.572 1.678 4.741
Cr O In Ti
2 6 1 1
Cartesian
5.172 3.134 2.226 Cr
2.610 1.647 4.451 Cr
5.956 1.860 3.567 O
4.237 1.570 1.260 O
5.882 4.431 3.591 O
4.228 4.734 1.229 O
6.947 3.107 1.142 O
3.679 3.164 3.600 O
7.798 4.760 2.806 In
2.585 1.621 0.377 Ti
```

Computed properties:
The calculation puts the energy at -7.6047 eV/atom. For the volume, the calculation gives 114.7 Å³/f.u. Its symmetry is P1, No. 1. The calculated density comes out at 5.25 g cm⁻³. For the size of the total moment, the calculation gives 7.00 μB/f.u.



(4)
DFT (PBE+U) results for a relaxed TlCrIn2O crystal.

Structure (POSCAR):
```
TlCrIn2O
1.0
4.562 0.000 0.000
0.000 5.076 0.000
0.000 0.000 4.562
In O Cr Tl
2 1 1 1
Cartesian
2.281 0.000 0.000 In
0.000 0.000 2.281 In
0.000 0.000 0.000 O
2.281 2.538 2.281 Cr
0.000 2.538 0.000 Tl
```

Computed properties:
The calculation puts the energy at -3.3772 eV/atom. For the volume, the calculation gives 105.7 Å³/f.u. Its symmetry is P4/mmm, No. 123. The calculated density comes out at 7.89 g cm⁻³. For the size of the total moment, the calculation gives 1.27 μB/f.u.



(5)
DFT (PBE+U) results for a relaxed TlCr2InO8 crystal.

Structure (POSCAR):
```
TlCr2InO8
1.0
-4.026 -1.822 -3.558
5.335 0.616 -1.829
1.539 -7.342 2.018
Cr Tl O In
2 1 8 1
Cartesian
-0.536 -2.775 -2.496 Cr
3.383 -5.773 -0.873 Cr
0.770 -3.671 1.009 Tl
3.047 -6.761 -2.188 O
-2.159 -2.674 -2.913 O
-0.199 -1.787 -1.181 O
2.410 -6.174 0.434 O
3.062 -4.239 -1.295 O
-0.214 -4.310 -2.075 O
0.438 -2.374 -3.804 O
5.006 -5.874 -0.456 O
0.000 0.000 0.000 In
```

Computed properties:
The calculation puts the energy at -6.2296 eV/atom. For the volume, the calculation gives 216.6 Å³/f.u. Its symmetry is P-3m1, No. 164. The calculated density comes out at 4.23 g cm⁻³. For the size of the total moment, the calculation gives 0.00 μB/f.u.



(6)
DFT (PBE+U) results for a relaxed TmCr2InO8 crystal.

Structure (POSCAR):
```
TmCr2InO8
1.0
-2.502 -1.398 5.149
1.008 -4.491 -3.680
5.269 2.301 1.288
O Tm Cr In
8 1 2 1
Cartesian
0.761 -0.136 2.121 O
3.606 0.797 2.215 O
-0.429 -1.665 4.295 O
1.794 0.202 4.525 O
3.742 -1.841 1.072 O
0.691 -2.326 0.029 O
1.915 -2.483 3.402 O
-0.489 -3.804 2.198 O
2.765 -2.567 -0.829 Tm
1.010 -1.020 3.586 Cr
-0.747 -2.944 0.734 Cr
0.000 0.000 0.000 In
```

Computed properties:
The calculation puts the energy at -6.9682 eV/atom. For the volume, the calculation gives 156.0 Å³/f.u. Its symmetry is I-4m2, No. 119. The calculated density comes out at 5.49 g cm⁻³. For the size of the total moment, the calculation gives 2.00 μB/f.u.



(7)
DFT (PBE+U) results for a relaxed UCrInO6 crystal.

Structure (POSCAR):
```
UCrInO6
1.0
-4.882 -1.558 -1.269
4.167 -2.841 -1.561
-0.454 -4.997 7.882
O Cr In U
12 2 2 2
Cartesian
2.235 -6.407 3.025 O
-0.510 -3.290 2.003 O
-2.189 -5.253 0.662 O
-0.644 -3.578 -0.885 O
-0.659 -6.106 3.049 O
0.454 -8.158 4.510 O
-3.405 -2.988 2.027 O
-3.504 -3.063 -0.724 O
-1.623 -1.238 0.542 O
1.019 -4.143 4.390 O
-0.525 -5.818 5.937 O
2.335 -6.333 5.776 O
-1.979 -3.235 0.604 Cr
0.810 -6.161 4.448 Cr
-2.206 -5.733 4.545 In
1.037 -3.662 0.507 In
-0.227 -2.499 3.941 U
0.000 0.000 0.000 U
```

Computed properties:
The calculation puts the energy at -7.9991 eV/atom. For the volume, the calculation gives 112.7 Å³/f.u. Its symmetry is P-31c, No. 163. The calculated density comes out at 7.38 g cm⁻³. For the size of the total moment, the calculation gives 2.99 μB/f.u.



(8)
DFT (PBE+U) results for a relaxed UCrIn2O8 crystal.

Structure (POSCAR):
```
UCrIn2O8
1.0
-0.491 -4.737 -1.084
4.565 -0.694 1.581
-2.253 -1.140 6.003
O Cr In U
8 1 2 1
Cartesian
2.846 -3.784 0.350 O
1.968 -2.273 5.545 O
0.005 -2.084 3.138 O
3.056 -1.723 2.646 O
-0.147 -4.298 0.956 O
1.817 -4.487 3.362 O
-1.234 -4.848 3.854 O
-1.025 -2.787 6.151 O
-1.126 -0.570 3.001 Cr
0.375 -3.557 4.679 In
1.447 -3.014 1.822 In
0.000 0.000 0.000 U
```

Computed properties:
The calculation puts the energy at -7.3616 eV/atom. For the volume, the calculation gives 155.2 Å³/f.u. Its symmetry is P2/m, No. 10. The calculated density comes out at 6.93 g cm⁻³. For the size of the total moment, the calculation gives 1.99 μB/f.u.



(9)
DFT (PBE+U) results for a relaxed VCr2InO6 crystal.

Structure (POSCAR):
```
VCr2InO6
1.0
-4.390 2.427 -1.501
-4.431 -2.728 -0.586
-4.025 0.701 3.770
Cr V In O
2 1 1 6
Cartesian
-6.362 0.155 0.591 Cr
-3.983 0.671 3.600 Cr
-3.001 -0.056 -0.445 V
-9.458 0.170 0.538 In
-4.712 1.024 -0.168 O
-7.918 -0.503 1.827 O
-7.686 0.688 -0.830 O
-5.354 -0.189 2.393 O
-6.813 1.894 1.665 O
-6.018 -1.742 0.010 O
```

Computed properties:
The calculation puts the energy at -7.3585 eV/atom. For the volume, the calculation gives 110.7 Å³/f.u. Its symmetry is R3, No. 146. The calculated density comes out at 5.48 g cm⁻³. For the size of the total moment, the calculation gives 8.00 μB/f.u.



(10)
DFT (PBE+U) results for a relaxed VCrIn2O6 crystal.

Structure (POSCAR):
```
VCrIn2O6
1.0
-5.349 0.268 0.055
-2.688 -1.072 4.506
-2.440 4.279 2.746
O In Cr V
6 2 1 1
Cartesian
-3.580 2.813 4.119 O
-4.365 1.096 1.624 O
-7.310 0.752 3.481 O
-6.119 2.644 5.243 O
-5.826 3.350 2.567 O
-4.209 0.180 4.997 O
-5.259 1.342 3.547 In
-2.461 3.872 2.636 In
-7.906 1.685 5.232 Cr
-2.666 -0.025 1.586 V
```

Computed properties:
The calculation puts the energy at -6.7772 eV/atom. For the volume, the calculation gives 117.1 Å³/f.u. Its symmetry is R3, No. 146. The calculated density comes out at 6.08 g cm⁻³. For the size of the total moment, the calculation gives 5.00 μB/f.u.



(11)
DFT (PBE+U) results for a relaxed CrIn2WO crystal.

Structure (POSCAR):
```
CrIn2WO
1.0
5.672 0.000 0.000
0.000 3.810 0.000
0.000 0.000 5.672
W O Cr In
1 1 1 2
Cartesian
0.000 0.000 0.000 W
0.000 1.905 0.000 O
2.836 1.905 2.836 Cr
2.836 0.000 0.000 In
0.000 0.000 2.836 In
```

Computed properties:
The calculation puts the energy at -4.8298 eV/atom. For the volume, the calculation gives 122.6 Å³/f.u. Its symmetry is P4/mmm, No. 123. The calculated density comes out at 6.52 g cm⁻³. For the size of the total moment, the calculation gives 6.06 μB/f.u.



(12)
DFT (PBE+U) results for a relaxed YCr2InO8 crystal.

Structure (POSCAR):
```
YCr2InO8
1.0
5.937 0.008 0.000
-2.626 5.325 0.000
-1.656 -2.667 5.040
O In Cr Y
8 1 2 1
Cartesian
0.272 2.225 0.942 O
0.218 -1.436 4.097 O
2.759 1.431 3.450 O
3.178 -1.423 3.450 O
4.340 0.449 1.589 O
1.597 -0.441 1.589 O
-0.218 1.436 4.097 O
3.039 3.108 0.942 O
-1.313 2.662 2.520 In
1.656 2.667 0.000 Cr
2.969 0.004 2.520 Cr
0.000 0.000 0.000 Y
```

Computed properties:
The calculation puts the energy at -7.1147 eV/atom. For the volume, the calculation gives 159.4 Å³/f.u. Its symmetry is I-4m2, No. 119. The calculated density comes out at 4.54 g cm⁻³. For the size of the total moment, the calculation gives 2.00 μB/f.u.



(13)
DFT (PBE+U) results for a relaxed ZnCr2InO6 crystal.

Structure (POSCAR):
```
ZnCr2InO6
1.0
-2.063 -1.932 4.411
0.324 -5.130 1.013
3.410 -1.678 3.975
O Cr In Zn
6 2 1 1
Cartesian
-0.431 -2.852 3.966 O
1.969 -5.754 5.356 O
-0.841 -5.362 5.505 O
1.041 -3.406 6.330 O
0.588 -5.436 2.897 O
2.336 -3.467 3.951 O
3.242 -1.707 3.884 Cr
0.645 -4.402 4.596 Cr
0.642 -6.660 6.716 In
-0.198 -2.290 2.018 Zn
```

Computed properties:
The calculation puts the energy at -6.4392 eV/atom. For the volume, the calculation gives 109.1 Å³/f.u. Its symmetry is R3, No. 146. The calculated density comes out at 5.79 g cm⁻³. For the size of the total moment, the calculation gives 5.00 μB/f.u.



(14)
DFT (PBE+U) results for a relaxed ZnCrIn2O6 crystal.

Structure (POSCAR):
```
ZnCrIn2O6
1.0
-3.893 0.130 -3.767
1.184 -1.092 -5.046
-1.899 -4.886 -2.141
O Zn In Cr
6 1 2 1
Cartesian
-2.707 -1.437 -3.856 O
-0.137 -2.279 -6.003 O
-2.374 -4.395 -6.859 O
-1.120 -4.046 -4.178 O
-4.081 -3.654 -4.671 O
-3.367 -1.829 -7.182 O
-1.060 -0.793 -2.914 Zn
-1.822 -4.487 -2.201 In
-2.212 -2.613 -5.565 In
-3.275 -3.455 -8.391 Cr
```

Computed properties:
The calculation puts the energy at -5.8827 eV/atom. For the volume, the calculation gives 118.1 Å³/f.u. Its symmetry is P1, No. 1. The calculated density comes out at 6.23 g cm⁻³. For the size of the total moment, the calculation gives 1.98 μB/f.u.